[1]
Here is crystalline KRbBa2Cl at its relaxed geometry from Alexandria via LeMat-Bulk. Energies are from PBE.

Output
- Total moment: 0.0007 μB per atom
- Symmetry: P4/mmm
- ΔE_f (raw): -2.91 eV per formula unit
- Energy: -10.7 eV/cell
- Excess energy over the best structure of this formula in the dataset: 0.089 eV per formula unit

a = 6.3946 Å, b = 6.3946 Å, c = 7.4216 Å
α = 90.00°, β = 90.00°, γ = 90.00°
Closest atoms and distances in Å follow each position.
Fractional positions:
K 0.0000 0.0000 0.5000  2 Cl 3.71
Ba 0.0000 0.5000 0.0000  2 Cl 3.20
Ba 0.5000 0.0000 0.0000  2 Cl 3.20
Rb 0.5000 0.5000 0.5000  4 K 4.52, 8 Ba 4.90
Cl 0.0000 0.0000 0.0000  4 Ba 3.20


[2]
Here is crystalline AcTbPr3Nd at its relaxed geometry from Alexandria via LeMat-Bulk. Energies are from PBE.

Output
- Total moment: 0.0000 μB per atom
- Symmetry: C2/m
- Energy of formation from the pure elements: 182 meV/atom
- Energy: -53.5 eV/cell

a = 5.9539 Å, b = 10.9134 Å, c = 7.1478 Å
α = 91.30°, β = 90.00°, γ = 105.83°
Closest atoms and distances in Å follow each position.
Fractional positions:
Ac 0.3518 0.7036 0.9662  1 Tb 3.27, 4 Pr 3.42-3.63
Ac 0.6482 0.2964 0.0338  1 Tb 3.27, 4 Pr 3.42-3.63
Tb 0.6426 0.2853 0.4901  4 Pr 3.25-3.51, 1 Ac 3.27
Tb 0.3574 0.7147 0.5099  4 Pr 3.25-3.51, 1 Ac 3.27
Pr 0.8396 0.6791 0.2549  2 Tb 3.51, 3 Pr 3.61-3.92, 2 Ac 3.63
Pr 0.7814 0.5627 0.7255  3 Tb 3.33-3.73, 1 Nd 3.42, 3 Ac 3.60-3.73, 1 Pr 3.61
Pr 0.4837 0.9674 0.2549  1 Tb 3.25, 2 Nd 3.34, 1 Ac 3.42, 1 Pr 3.55
Pr 0.2186 0.4373 0.2745  3 Tb 3.33-3.73, 1 Nd 3.42, 3 Ac 3.60-3.73, 1 Pr 3.61
Pr 0.5163 0.0326 0.7451  1 Tb 3.25, 2 Nd 3.34, 1 Ac 3.42, 1 Pr 3.55
Pr 0.1604 0.3209 0.7451  2 Tb 3.51, 3 Pr 3.61-3.92, 2 Ac 3.63
Nd 0.0558 0.1117 0.2808  3 Pr 3.34-3.42
Nd 0.9442 0.8883 0.7192  3 Pr 3.34-3.42


[3]
Here is crystalline Rb2CaI3 at its relaxed geometry from Alexandria via LeMat-Bulk. Energies are from PBE.

Output
- Total moment: 0.0984 μB per atom
- Symmetry: C2/c
- ΔE_f (raw): -7.45 eV per formula unit
- Energy: -32.1 eV/cell

a = 8.2844 Å, b = 9.8951 Å, c = 8.8696 Å
α = 106.65°, β = 117.84°, γ = 90.00°
Closest atoms and distances in Å follow each position.
Fractional positions:
Rb 0.6762 0.5761 0.3214  5 I 3.64-4.06
Rb 0.6452 0.0761 0.3214  5 I 3.64-4.06
Rb 0.3548 0.9239 0.6786  5 I 3.64-4.06
Rb 0.3238 0.4239 0.6786  5 I 3.64-4.06
Ca 0.0211 0.7500 0.0000  5 I 3.12-3.29
Ca 0.9789 0.2500 0.0000  5 I 3.12-3.29
I 0.3558 0.2500 0.0000  1 Ca 3.12
I 0.6442 0.7500 0.0000  1 Ca 3.12
I 0.1410 0.0753 0.2908  2 Ca 3.28-3.29
I 0.8502 0.4247 0.7092  2 Ca 3.28-3.29
I 0.1498 0.5753 0.2908  2 Ca 3.28-3.29
I 0.8590 0.9247 0.7092  2 Ca 3.28-3.29


[4]
Here is crystalline LaNd12Tm3 at its relaxed geometry from Alexandria via LeMat-Bulk. Energies are from PBE.

Output
- Total moment: 0.0000 μB per atom
- Symmetry: P4/mmm
- Energy of formation from the pure elements: 16 meV/atom
- Energy: -75.3 eV/cell

a = 5.1607 Å, b = 5.1607 Å, c = 20.6414 Å
α = 90.00°, β = 90.00°, γ = 90.00°
Closest atoms and distances in Å follow each position.
Fractional positions:
La 0.0000 0.0000 0.0000  12 Nd 3.65-3.70
Nd 0.5000 0.5000 0.0000  4 La 3.65, 8 Nd 3.70
Nd 0.5000 0.5000 0.2537  8 Nd 3.61-3.65, 4 Tm 3.65
Nd 0.5000 0.5000 0.5000  8 Nd 3.63, 4 Tm 3.65
Nd 0.5000 0.5000 0.7463  8 Nd 3.61-3.65, 4 Tm 3.65
Nd 0.5000 0.0000 0.1287  2 Tm 3.63, 8 Nd 3.65-3.70, 2 La 3.70
Nd 0.5000 0.0000 0.3763  8 Nd 3.61-3.65, 4 Tm 3.63
Nd 0.5000 0.0000 0.6237  8 Nd 3.61-3.65, 4 Tm 3.63
Nd 0.5000 0.0000 0.8713  2 Tm 3.63, 8 Nd 3.65-3.70, 2 La 3.70
Nd 0.0000 0.5000 0.1287  2 Tm 3.63, 8 Nd 3.65-3.70, 2 La 3.70
Nd 0.0000 0.5000 0.3763  8 Nd 3.61-3.65, 4 Tm 3.63
Nd 0.0000 0.5000 0.6237  8 Nd 3.61-3.65, 4 Tm 3.63
Nd 0.0000 0.5000 0.8713  2 Tm 3.63, 8 Nd 3.65-3.70, 2 La 3.70
Tm 0.0000 0.0000 0.2523  12 Nd 3.63-3.65
Tm 0.0000 0.0000 0.5000  12 Nd 3.63-3.65
Tm 0.0000 0.0000 0.7477  12 Nd 3.63-3.65


[5]
Here is crystalline Ga2FeHgSb at its relaxed geometry from Alexandria via LeMat-Bulk. Energies are from PBE.

Output
- Total moment: 0.1413 μB per atom
- Symmetry: P4/mmm
- ΔE_f (raw): 0.25 eV per formula unit
- Energy: -18.7 eV/cell

a = 4.7044 Å, b = 4.7044 Å, c = 4.9173 Å
α = 90.00°, β = 90.00°, γ = 90.00°
Closest atoms and distances in Å follow each position.
Fractional positions:
Sb 0.0000 0.0000 0.5000  2 Fe 2.46
Hg 0.5000 0.5000 0.5000  4 Sb 3.33, 8 Ga 3.40
Ga 0.0000 0.5000 0.0000  2 Fe 2.35
Ga 0.5000 0.0000 0.0000  2 Fe 2.35
Fe 0.0000 0.0000 0.0000  4 Ga 2.35, 2 Sb 2.46


[6]
Here is crystalline LiCaLuGa at its relaxed geometry from Alexandria via LeMat-Bulk. Energies are from PBE.

Output
- Total moment: 0.0004 μB per atom
- Symmetry: F-43m
- Energy of formation from the pure elements: -245 meV/atom
- Energy: -12.4 eV/cell

a = 5.1217 Å, b = 5.1217 Å, c = 5.1217 Å
α = 60.00°, β = 60.00°, γ = 60.00°
Closest atoms and distances in Å follow each position.
Fractional positions:
Ca 0.0000 0.0000 0.0000  4 Li 3.14, 4 Ga 3.14
Lu 0.5000 0.5000 0.5000  4 Ga 3.14, 4 Li 3.14
Ga 0.7500 0.7500 0.7500  4 Ca 3.14, 4 Lu 3.14
Li 0.2500 0.2500 0.2500  4 Ca 3.14, 4 Lu 3.14


[7]
Here is crystalline TaZnIrRh at its relaxed geometry from Alexandria via LeMat-Bulk. Energies are from PBE.

Output
- Total moment: 0.0000 μB per atom
- Symmetry: F-43m
- Energy of formation from the pure elements: -511 meV/atom
- Energy: -31.4 eV/cell
- Excess energy over the best structure of this formula in the dataset: 0.273 eV per formula unit

a = 4.4120 Å, b = 4.4120 Å, c = 4.4120 Å
α = 60.00°, β = 60.00°, γ = 60.00°
Closest atoms and distances in Å follow each position.
Fractional positions:
Zn 0.7500 0.7500 0.7500  4 Ir 2.70, 4 Rh 2.70
Ir 0.5000 0.5000 0.5000  4 Zn 2.70, 4 Ta 2.70
Rh 0.0000 0.0000 0.0000  4 Ta 2.70, 4 Zn 2.70
Ta 0.2500 0.2500 0.2500  4 Ir 2.70, 4 Rh 2.70


> Among the records above, which one has the lowest energy?

LaNd12Tm3


> What is the energy in the fourth record?

-75.3 eV/cell